This record from Alexandria via LeMat-Bulk describes a relaxed ZrInSbRu2 crystal. The functional is PBEsol.

Lattice parameters (Å, degrees): 4.721 4.721 5.348 90.00 90.00 90.00
Space group P4/mmm (No. 123)
Symmetry-distinct sites (fractional):
1 Zr 0.000 0.000 0.000 [1 per cell]
2 In 0.000 0.000 0.500 [1 per cell]
3 Sb 0.500 0.500 0.500 [1 per cell]
4 Ru 0.000 0.500 0.000 [2 per cell]

Output
Magnetic moment in μB per atom: 0.182
Raw total energy in eV per atom: -6.0869

***

This record from Alexandria via LeMat-Bulk describes a relaxed ScInRu2 crystal. The functional is PBEsol.

Lattice parameters (Å, degrees): 3.217 3.217 6.206 90.00 90.00 90.00
Space group P4/mmm (No. 123)
Symmetry-distinct sites (fractional):
1 Sc 0.000 0.000 0.000 [1 per cell]
2 In 0.000 0.000 0.500 [1 per cell]
3 Ru 0.500 0.500 0.249 [2 per cell]

Output
E_form in kJ/mol of formula units: -78
Magnetic moment in μB per atom: 0.000

***

This record from Alexandria via LeMat-Bulk describes a relaxed ScInRu crystal. The functional is PBEsol.

Lattice parameters (Å, degrees): 3.1472 3.1472 6.5317 90.00 90.00 120.00
Space group P3m1 (No. 156)
Symmetry-distinct sites (fractional):
1 Sc 0.0000 0.0000 0.0000 [1 per cell]
2 In 0.3333 0.6667 0.6073 [1 per cell]
3 Ru 0.6667 0.3333 0.2847 [1 per cell]

Output
E_form in kJ/mol of formula units: -28
Magnetic moment in μB per atom: 0.000

***

This record from Alexandria via LeMat-Bulk describes a relaxed ScInRu2 crystal. The functional is PBEsol.

Lattice parameters (Å, degrees): 10.065 3.074 4.508 90.00 111.35 90.00
Space group Cm (No. 8)
Symmetry-distinct sites (fractional):
1 Sc 0.000 0.000 0.000 [2 per cell]
2 In 0.276 0.500 0.348 [2 per cell]
3 Ru 0.024 0.500 0.505 [2 per cell]
4 Ru 0.243 0.000 0.826 [2 per cell]

Output
E_form in kJ/mol of formula units: -90
Magnetic moment in μB per atom: 0.000

***

This record from Alexandria via LeMat-Bulk describes a relaxed ScTlIn2Ru crystal. The functional is PBEsol.

Lattice parameters (Å, degrees): 5.562 5.562 4.442 90.00 90.00 90.00
Space group P4/mmm (No. 123)
Symmetry-distinct sites (fractional):
1 Sc 0.000 0.000 0.000 [1 per cell]
2 Tl 0.500 0.500 0.500 [1 per cell]
3 In 0.000 0.500 0.000 [2 per cell]
4 Ru 0.000 0.000 0.500 [1 per cell]

Output
E_form in kJ/mol of formula units: 359
Magnetic moment in μB per atom: 0.000

***

This record from Alexandria via LeMat-Bulk describes a relaxed ScInRu2W crystal. The functional is PBEsol.

Lattice parameters (Å, degrees): 4.688 4.688 4.803 90.00 90.00 90.00
Space group P4/mmm (No. 123)
Symmetry-distinct sites (fractional):
1 Sc 0.000 0.000 0.000 [1 per cell]
2 In 0.000 0.000 0.500 [1 per cell]
3 Ru 0.000 0.500 0.500 [2 per cell]
4 W 0.500 0.500 0.000 [1 per cell]

Output
E_form in kJ/mol of formula units: 1050
Magnetic moment in μB per atom: 0.380